Entry 1:
A geometry-optimized Tb2PuScSb4 structure, computed with PBE.

- formation energy from raw total energies (eV/atom) = -0.9362
- volume (Å³/cell) = 233.0
- crystal system = monoclinic
- symmetry = No. 10

Cell lengths 4.362, 7.519, 7.535 Å; angles 109.44, 90.00, 90.00 degrees
Atoms (fractional coordinates):
Sb: 0.500 0.760 0.761
Sb: 0.000 0.755 0.245
Sb: 0.000 0.245 0.755
Sb: 0.500 0.240 0.239
Tb: 0.500 0.000 0.500
Tb: 0.000 0.500 0.500
Sc: 0.000 0.000 0.000
Pu: 0.500 0.500 0.000

---

Entry 2:
A geometry-optimized ZrScRu2 structure, computed with PBE.

- volume (Å³/cell) = 67.6
- crystal system = cubic
- symmetry = No. 216
- DFT formation energy (meV/atom) = -108

Cell lengths 4.573, 4.573, 4.573 Å; angles 60.00, 60.00, 60.00 degrees
Atoms (fractional coordinates):
Ru: 0.250 0.250 0.250
Ru: 0.000 0.000 0.000
Zr: 0.750 0.750 0.750
Sc: 0.500 0.500 0.500

---

| no. | D(E_F) (states/eV per cell) |
| --- | --- |
| 1 | 15.75 |
| 2 | 5.77 |